Record 1
Compound: La2ZnHg4
Source: Alexandria via LeMat-Bulk
Functional: PBE
Structure: optimized geometry

Cell lengths 5.4341, 5.4341, 21.9776 Å; angles 90.00, 90.00, 120.00 degrees
Space group R-3m (No. 166, hexagonal axes)
Inequivalent atoms, fractional coordinates:
La  0.0000  0.0000  0.2282 (multiplicity 6)
Zn  0.0000  0.0000  0.5000 (multiplicity 3)
Hg  0.0000  0.0000  0.0740 (multiplicity 6)
Hg  0.0000  0.0000  0.3752 (multiplicity 6)

Calculated values
- Volume: 562.05 Å³ per cell
- Energy relative to the elements: -0.343 eV/atom

Record 2
Compound: CuAg2Te
Source: Alexandria via LeMat-Bulk
Functional: PBE
Structure: optimized geometry

Cell lengths 4.0845, 4.0845, 9.0957 Å; angles 90.00, 90.00, 90.00 degrees
Space group I4/mmm (No. 139)
Inequivalent atoms, fractional coordinates:
Cu  0.0000  0.0000  0.0000 (multiplicity 2)
Ag  0.0000  0.5000  0.2500 (multiplicity 4)
Te  0.0000  0.0000  0.5000 (multiplicity 2)

Calculated values
- Volume: 151.75 Å³ per cell
- Formation energy from raw total energies: 155 meV/atom

Record 3
Compound: CaBeI2
Source: Alexandria via LeMat-Bulk
Functional: PBE
Structure: optimized geometry

Cell lengths 7.8614, 7.8614, 7.8614 Å; angles 90.00, 90.00, 90.00 degrees
Space group Fm-3m (No. 225)
Inequivalent atoms, fractional coordinates:
Ca  0.0000  0.0000  0.0000 (multiplicity 4)
Be  0.0000  0.0000  0.5000 (multiplicity 4)
I  0.2500  0.2500  0.2500 (multiplicity 8)

Calculated values
- Volume: 485.84 Å³ per cell
- Formation energy from raw total energies: -215 meV/atom

Record 4
Compound: Te2Mo3WS6
Source: Alexandria via LeMat-Bulk
Functional: PBE
Structure: optimized geometry

Cell lengths 3.2762, 3.2762, 37.0819 Å; angles 90.00, 90.00, 120.00 degrees
Space group P3m1 (No. 156)
Inequivalent atoms, fractional coordinates:
Te  0.0000  0.0000  0.0000 (multiplicity 1)
Te  0.0000  0.0000  0.1047 (multiplicity 1)
Mo  0.0000  0.0000  0.2485 (multiplicity 1)
Mo  0.0000  0.0000  0.8571 (multiplicity 1)
Mo  0.6667  0.3333  0.6722 (multiplicity 1)
W  0.6667  0.3333  0.0524 (multiplicity 1)
S  0.0000  0.0000  0.6307 (multiplicity 1)
S  0.0000  0.0000  0.7137 (multiplicity 1)
S  0.6667  0.3333  0.2070 (multiplicity 1)
S  0.6667  0.3333  0.2899 (multiplicity 1)
S  0.6667  0.3333  0.8157 (multiplicity 1)
S  0.6667  0.3333  0.8985 (multiplicity 1)

Calculated values
- Volume: 344.70 Å³ per cell
- Formation energy from raw total energies: -616 meV/atom

Record 5
Compound: ZnFeBr2
Source: Alexandria via LeMat-Bulk
Functional: PBE
Structure: optimized geometry

Cell lengths 6.9911, 7.0010, 3.4062 Å; angles 90.00, 90.00, 90.00 degrees
Space group Cmmm (No. 65)
Inequivalent atoms, fractional coordinates:
Zn  0.0000  0.0000  0.0000 (multiplicity 2)
Fe  0.0000  0.5000  0.0000 (multiplicity 2)
Br  0.2500  0.2500  0.5000 (multiplicity 4)

Calculated values
- Volume: 166.72 Å³ per cell
- Formation energy from raw total energies: 385 meV/atom

Record 6
Compound: Tm2ThZr3N6
Source: Alexandria via LeMat-Bulk
Functional: PBE
Structure: optimized geometry

Cell lengths 5.8182, 10.1042, 5.8753 Å; angles 90.00, 109.21, 90.00 degrees
Space group C2/m (No. 12)
Inequivalent atoms, fractional coordinates:
Tm  0.0000  0.1669  0.0000 (multiplicity 4)
Th  0.0000  0.5000  0.0000 (multiplicity 2)
Zr  0.0000  0.0000  0.5000 (multiplicity 2)
Zr  0.0000  0.3293  0.5000 (multiplicity 4)
N  0.2419  0.1707  0.7355 (multiplicity 8)
N  0.2467  0.0000  0.2626 (multiplicity 4)

Calculated values
- Volume: 326.16 Å³ per cell
- Formation energy from raw total energies: -1692 meV/atom

Record 7
Compound: Pa2Cu5Pt4
Source: Alexandria via LeMat-Bulk
Functional: PBE
Structure: optimized geometry

Cell lengths 5.0434, 8.7777, 17.2432 Å; angles 90.00, 90.00, 90.00 degrees
Space group Fmmm (No. 69)
Inequivalent atoms, fractional coordinates:
Pa  0.0000  0.0000  0.1377 (multiplicity 8)
Cu  0.0000  0.0000  0.5000 (multiplicity 4)
Cu  0.2500  0.2500  0.0000 (multiplicity 8)
Cu  0.2500  0.2500  0.2500 (multiplicity 8)
Pt  0.0000  0.1624  0.3728 (multiplicity 16)

Calculated values
- Volume: 763.35 Å³ per cell
- Energy relative to the elements: -0.436 eV/atom

Record 8
Compound: RbS
Source: Alexandria via LeMat-Bulk
Functional: PBE
Structure: optimized geometry

Cell lengths 7.2545, 7.2545, 6.3383 Å; angles 90.00, 90.00, 90.00 degrees
Space group P4_2/mnm (No. 136)
Inequivalent atoms, fractional coordinates:
Rb  0.2024  0.2024  0.0000 (multiplicity 4)
S  0.1046  0.1046  0.5000 (multiplicity 4)

Calculated values
- Volume: 333.57 Å³ per cell
- Formation energy from raw total energies: -837 meV/atom

Record 9
Compound: Tb3PrSb3
Source: Alexandria via LeMat-Bulk
Functional: PBE
Structure: optimized geometry

Cell lengths 9.1699, 9.1699, 18.5121 Å; angles 90.00, 90.00, 120.00 degrees
Space group R-3 (No. 148, hexagonal axes)
Inequivalent atoms, fractional coordinates:
Tb  0.0030  0.7335  0.0853 (multiplicity 18)
Pr  0.0000  0.0000  0.3342 (multiplicity 6)
Sb  0.0042  0.6243  0.9181 (multiplicity 18)

Calculated values
- Volume: 1348.07 Å³ per cell
- Formation energy from raw total energies: -913 meV/atom

Record 10
Compound: CaAc4Tb2
Source: Alexandria via LeMat-Bulk
Functional: PBE
Structure: optimized geometry

Cell lengths 3.8402, 17.0601, 17.9707 Å; angles 90.00, 90.00, 90.00 degrees
Space group Cmcm (No. 63)
Inequivalent atoms, fractional coordinates:
Ca  0.0000  0.0232  0.2500 (multiplicity 4)
Ac  0.0000  0.0000  0.0000 (multiplicity 4)
Ac  0.0000  0.2873  0.7500 (multiplicity 4)
Ac  0.0000  0.3577  0.1362 (multiplicity 8)
Tb  0.0000  0.3160  0.5588 (multiplicity 8)

Calculated values
- Volume: 1177.33 Å³ per cell
- Energy relative to the elements: 0.147 eV/atom

Record 11
Compound: CaSi2Se
Source: Alexandria via LeMat-Bulk
Functional: PBE
Structure: optimized geometry

Cell lengths 3.7754, 3.8128, 12.0886 Å; angles 87.61, 88.90, 84.43 degrees
Space group P1 (No. 1)
Inequivalent atoms, fractional coordinates:
Ca  0.0000  0.0000  0.0000 (multiplicity 1)
Ca  0.0204  0.5145  0.7007 (multiplicity 1)
Si  0.1255  0.6432  0.3771 (multiplicity 1)
Si  0.4797  0.0227  0.2359 (multiplicity 1)
Si  0.6936  0.2162  0.4140 (multiplicity 1)
Si  0.9228  0.4692  0.2002 (multiplicity 1)
Se  0.5052  0.5143  0.8921 (multiplicity 1)
Se  0.5295  0.0290  0.6021 (multiplicity 1)

Calculated values
- Volume: 173.02 Å³ per cell
- Formation energy from raw total energies: -645 meV/atom

Record 12
Compound: La8TcP3Br4
Source: Alexandria via LeMat-Bulk
Functional: PBE
Structure: optimized geometry

Cell lengths 8.5264, 8.5264, 22.3763 Å; angles 90.00, 90.00, 120.00 degrees
Space group R-3m (No. 166, hexagonal axes)
Inequivalent atoms, fractional coordinates:
La  0.0000  0.0000  0.2361 (multiplicity 6)
La  0.0088  0.5044  0.2345 (multiplicity 18)
Tc  0.0000  0.0000  0.5000 (multiplicity 3)
P  0.0000  0.5000  0.5000 (multiplicity 9)
Br  0.0000  0.0000  0.0000 (multiplicity 3)
Br  0.0000  0.5000  0.0000 (multiplicity 9)

Calculated values
- Volume: 1408.84 Å³ per cell
- Formation energy from raw total energies: -1354 meV/atom

Record 13
Compound: Mg4Ga2Hg
Source: Alexandria via LeMat-Bulk
Functional: PBE
Structure: optimized geometry

Cell lengths 4.5903, 8.8787, 14.3874 Å; angles 90.00, 90.00, 90.00 degrees
Space group Cmcm (No. 63)
Inequivalent atoms, fractional coordinates:
Mg  0.0000  0.0000  0.0000 (multiplicity 4)
Mg  0.0000  0.3120  0.2500 (multiplicity 4)
Mg  0.0000  0.3676  0.6404 (multiplicity 8)
Ga  0.0000  0.3093  0.0545 (multiplicity 8)
Hg  0.0000  0.0089  0.7500 (multiplicity 4)

Calculated values
- Volume: 586.38 Å³ per cell
- Energy relative to the elements: -0.135 eV/atom

Record 14
Compound: RbCr3Co
Source: Alexandria via LeMat-Bulk
Functional: PBE
Structure: optimized geometry

Cell lengths 4.8026, 4.8026, 4.8026 Å; angles 90.00, 90.00, 90.00 degrees
Space group Pm-3m (No. 221)
Inequivalent atoms, fractional coordinates:
Rb  0.0000  0.0000  0.0000 (multiplicity 1)
Cr  0.0000  0.5000  0.5000 (multiplicity 3)
Co  0.5000  0.5000  0.5000 (multiplicity 1)

Calculated values
- Volume: 110.77 Å³ per cell
- Energy relative to the elements: 1.307 eV/atom

Record 15
Compound: CdGaRh2
Source: Alexandria via LeMat-Bulk
Functional: PBE
Structure: optimized geometry

Cell lengths 3.0668, 3.0668, 6.5367 Å; angles 90.00, 90.00, 90.00 degrees
Space group P4/mmm (No. 123)
Inequivalent atoms, fractional coordinates:
Cd  0.0000  0.0000  0.0000 (multiplicity 1)
Ga  0.0000  0.0000  0.5000 (multiplicity 1)
Rh  0.5000  0.5000  0.2798 (multiplicity 2)

Calculated values
- Volume: 61.48 Å³ per cell
- Energy relative to the elements: -0.458 eV/atom

Record 16
Compound: YCdSb3
Source: Alexandria via LeMat-Bulk
Functional: PBE
Structure: optimized geometry

Cell lengths 5.7824, 5.7824, 5.7824 Å; angles 90.00, 90.00, 90.00 degrees
Space group Pm-3m (No. 221)
Inequivalent atoms, fractional coordinates:
Y  0.0000  0.0000  0.0000 (multiplicity 1)
Cd  0.5000  0.5000  0.5000 (multiplicity 1)
Sb  0.0000  0.0000  0.5000 (multiplicity 3)

Calculated values
- Volume: 193.34 Å³ per cell
- Formation energy from raw total energies: 327 meV/atom

Record 17
Compound: TlRhBr2
Source: Alexandria via LeMat-Bulk
Functional: PBE
Structure: optimized geometry

Cell lengths 3.6312, 5.8018, 10.9541 Å; angles 90.00, 90.00, 90.00 degrees
Space group Immm (No. 71)
Inequivalent atoms, fractional coordinates:
Tl  0.0000  0.0000  0.0000 (multiplicity 2)
Rh  0.0000  0.0000  0.5000 (multiplicity 2)
Br  0.0000  0.5000  0.1568 (multiplicity 4)

Calculated values
- Volume: 230.78 Å³ per cell
- Formation energy from raw total energies: -266 meV/atom

Record 18
Compound: Pu5Ge4Br
Source: Alexandria via LeMat-Bulk
Functional: PBE
Structure: optimized geometry

Cell lengths 3.8151, 3.8151, 15.3668 Å; angles 90.00, 90.00, 90.00 degrees
Space group P4/mmm (No. 123)
Inequivalent atoms, fractional coordinates:
Pu  0.0000  0.0000  0.0000 (multiplicity 1)
Pu  0.0000  0.0000  0.1814 (multiplicity 2)
Pu  0.0000  0.0000  0.3411 (multiplicity 2)
Ge  0.5000  0.5000  0.0953 (multiplicity 2)
Ge  0.5000  0.5000  0.2650 (multiplicity 2)
Br  0.5000  0.5000  0.5000 (multiplicity 1)

Calculated values
- Volume: 223.66 Å³ per cell
- Formation energy from raw total energies: -196 meV/atom

Record 19
Compound: PmTiCuGe
Source: Alexandria via LeMat-Bulk
Functional: PBE
Structure: optimized geometry

Cell lengths 6.8029, 6.8029, 6.8029 Å; angles 90.00, 90.00, 90.00 degrees
Space group F-43m (No. 216)
Inequivalent atoms, fractional coordinates:
Pm  0.0000  0.0000  0.0000 (multiplicity 4)
Ti  0.0000  0.0000  0.5000 (multiplicity 4)
Cu  0.2500  0.2500  0.2500 (multiplicity 4)
Ge  0.2500  0.2500  0.7500 (multiplicity 4)

Calculated values
- Volume: 314.84 Å³ per cell
- Energy relative to the elements: -0.238 eV/atom

Record 20
Compound: YCdGeAu
Source: Alexandria via LeMat-Bulk
Functional: PBE
Structure: optimized geometry

Cell lengths 7.0074, 7.0074, 7.0074 Å; angles 90.00, 90.00, 90.00 degrees
Space group F-43m (No. 216)
Inequivalent atoms, fractional coordinates:
Y  0.0000  0.0000  0.0000 (multiplicity 4)
Cd  0.0000  0.0000  0.5000 (multiplicity 4)
Ge  0.2500  0.2500  0.7500 (multiplicity 4)
Au  0.2500  0.2500  0.2500 (multiplicity 4)

Calculated values
- Volume: 344.09 Å³ per cell
- Energy relative to the elements: -0.493 eV/atom